This record from Alexandria describes a relaxed Tb4Pm2NdTh crystal. The functional is PBE.

```
Tb4Pm2NdTh
1.0
6.281 0.000 0.000
0.000 3.614 0.000
-0.016 0.000 11.596
Tb Pm Nd Th
4 2 1 1
Cartesian
1.030 0.000 2.957
2.049 1.807 8.675
4.216 1.807 2.921
5.234 0.000 8.639
0.000 1.807 0.000
3.132 0.000 5.798
3.140 0.000 0.000
-0.008 1.807 5.798
```

## Properties
The calculation puts the theoretical density at 8.21 Mg/m³.



This record from Alexandria describes a relaxed TbPm3NdTh crystal. The functional is PBE.

```
TbPm3NdTh
1.0
8.120 0.000 0.000
0.000 5.131 0.000
-3.269 0.000 9.747
Tb Pm Nd Th
2 6 2 2
Cartesian
-0.419 1.283 1.252
5.270 3.848 8.495
1.119 1.283 4.444
0.303 3.848 6.870
-0.461 1.283 9.315
5.312 3.848 0.432
4.548 1.283 2.877
3.733 3.848 5.304
1.993 3.848 2.028
2.858 1.283 7.719
-2.029 1.283 6.060
6.880 3.848 3.687
```

## Properties
The calculation puts the theoretical density at 7.93 Mg/m³.



This record from Alexandria describes a relaxed TbPmNdTl crystal. The functional is PBE.

```
TbPmNdTl
1.0
4.904 0.000 0.000
0.000 4.921 0.000
0.000 0.000 5.007
Tb Pm Nd Tl
1 1 1 1
Cartesian
0.000 0.000 0.000
0.000 2.461 2.503
2.452 0.000 2.503
2.452 2.461 0.000
```

## Properties
The calculation puts the theoretical density at 8.97 Mg/m³.



This record from Alexandria describes a relaxed Tb6Pm2Nd3Tl crystal. The functional is PBE.

```
Tb6Pm2Nd3Tl
1.0
3.089 -5.356 0.000
3.089 5.356 0.000
-2.077 0.000 11.659
Tb Pm Nd Tl
6 2 3 1
Cartesian
1.002 1.752 2.868
-0.047 0.000 8.775
1.002 -1.752 2.868
3.098 1.752 8.791
4.147 0.000 2.884
3.098 -1.752 8.791
3.089 1.780 0.000
3.089 -1.780 0.000
2.050 3.560 5.830
2.050 0.000 5.830
2.050 -3.560 5.830
0.000 0.000 0.000
```

## Properties
The calculation puts the theoretical density at 8.10 Mg/m³.



This record from Alexandria describes a relaxed Tb2PmNdTl2 crystal. The functional is PBE.

```
Tb2PmNdTl2
1.0
5.186 0.000 0.000
0.000 10.204 0.000
0.000 0.000 6.860
Tb Pm Nd Tl
4 2 2 4
Cartesian
0.000 0.420 0.000
0.000 9.784 3.430
2.593 1.862 1.913
2.593 8.342 5.343
0.000 3.193 4.364
0.000 7.012 0.934
2.593 4.677 6.220
2.593 5.527 2.790
0.000 3.643 1.134
0.000 6.561 4.564
2.593 1.322 5.119
2.593 8.883 1.690
```

## Properties
The calculation puts the theoretical density at 9.29 Mg/m³.



This record from Alexandria describes a relaxed Tb3Pm6Nd2Tl crystal. The functional is PBE.

```
Tb3Pm6Nd2Tl
1.0
3.106 -5.391 0.000
3.106 5.391 0.000
-2.088 0.000 11.735
Tb Pm Nd Tl
3 6 2 1
Cartesian
0.000 0.000 0.000
3.106 1.805 0.000
3.106 -1.805 0.000
1.053 1.760 2.928
0.030 0.000 8.820
1.053 -1.760 2.928
3.071 1.760 8.807
4.094 0.000 2.915
3.071 -1.760 8.807
2.062 3.599 5.868
2.062 -3.599 5.868
2.062 0.000 5.868
```

## Properties
The calculation puts the theoretical density at 7.77 Mg/m³.



This record from Alexandria describes a relaxed TbPmNdTl crystal. The functional is PBE.

```
TbPmNdTl
1.0
0.000 3.938 3.938
3.938 0.000 3.938
3.938 3.938 0.000
Tb Pm Nd Tl
1 1 1 1
Cartesian
0.000 0.000 0.000
5.907 5.907 5.907
3.938 3.938 3.938
1.969 1.969 1.969
```

## Properties
The calculation puts the theoretical density at 8.87 Mg/m³.



This record from Alexandria describes a relaxed Tb2Pm4NdTm2 crystal. The functional is PBE.

```
Tb2Pm4NdTm2
1.0
7.637 -2.539 0.000
7.637 2.539 0.000
-2.533 0.000 7.631
Tb Pm Nd Tm
2 4 1 2
Cartesian
1.279 0.000 1.281
11.462 0.000 6.350
1.299 0.000 6.342
6.377 0.000 1.282
6.364 0.000 6.348
11.443 0.000 1.288
-1.267 0.000 3.815
3.797 0.000 3.820
8.944 0.000 3.810
```

## Properties
The calculation puts the theoretical density at 7.74 Mg/m³.



This record from Alexandria describes a relaxed Tb2PmNdTm crystal. The functional is PBE.

```
Tb2PmNdTm
1.0
4.215 -5.777 0.000
4.215 5.777 0.000
0.000 0.000 7.177
Tb Pm Nd Tm
4 2 2 2
Cartesian
1.579 0.000 0.000
1.579 0.000 3.588
6.851 0.000 0.000
6.851 0.000 3.588
4.215 0.033 5.382
4.215 -0.033 1.794
4.215 3.128 5.382
4.215 -3.128 1.794
4.215 3.204 1.794
4.215 -3.204 5.382
```

## Properties
The calculation puts the theoretical density at 7.37 Mg/m³.



This record from Alexandria describes a relaxed Tb3PmNd2Tm6 crystal. The functional is PBE.

```
Tb3PmNd2Tm6
1.0
3.082 -5.335 0.000
3.082 5.335 0.000
-2.048 0.000 11.500
Tb Pm Nd Tm
3 1 2 6
Cartesian
0.000 0.000 0.000
3.082 1.778 0.000
3.082 -1.778 0.000
2.058 0.000 5.750
2.058 3.557 5.750
2.058 -3.557 5.750
1.026 1.778 2.844
0.010 0.000 8.657
1.026 -1.778 2.844
3.091 1.778 8.656
4.107 0.000 2.844
3.091 -1.778 8.656
```

## Properties
The calculation puts the theoretical density at 8.45 Mg/m³.



This record from Alexandria describes a relaxed TbPm2Nd5Tm crystal. The functional is PBE.

```
TbPm2Nd5Tm
1.0
-4.319 4.319 8.357
4.319 -4.319 8.357
4.319 4.319 -8.357
Tb Pm Nd Tm
2 4 10 2
Cartesian
0.000 0.000 4.179
0.000 0.000 12.536
5.365 1.046 0.000
1.046 3.273 0.000
3.273 1.046 8.357
-1.046 3.273 8.357
0.000 0.000 0.000
2.446 1.873 -2.385
2.446 -1.873 5.972
2.446 1.873 2.385
2.446 -1.873 10.742
0.000 0.000 8.357
1.873 6.192 -2.385
1.873 2.446 5.972
1.873 6.192 2.385
1.873 2.446 10.742
4.319 0.000 4.179
0.000 4.319 4.179
```

## Properties
The calculation puts the theoretical density at 7.13 Mg/m³.



Calculated ΔH_f (0 K) in order - 0.0058 0.0302 -0.1959 -0.0259 -0.2721 -0.0284 -0.0355 0.0188 0.3929 0.0201 0.2814 eV/atom